Compound: Cd2SbAu
Source: Alexandria via LeMat-Bulk
Functional: PBE
Structure: relaxed

a b c (Å): 4.646 4.646 15.988
angles (deg): 90.00 90.00 120.00
Atoms (fractional coordinates):
Cd 0.000 0.000 0.000
Cd 0.000 0.000 0.198
Cd 0.333 0.667 0.667
Cd 0.333 0.667 0.865
Cd 0.667 0.333 0.333
Cd 0.667 0.333 0.532
Sb 0.000 0.000 0.776
Sb 0.333 0.667 0.443
Sb 0.667 0.333 0.110
Au 0.000 0.000 0.600
Au 0.333 0.667 0.267
Au 0.667 0.333 0.933

Values from the calculation:
As for the total DFT energy (no corrections): -2.33 eV/atom. The value obtained for the formation energy (no corrections) is -0.02 eV per atom.